(1)
# LiThTlNi | Alexandria | GGA-PBE | optimized geometry
data_LiThTlNi
_cell_length_a 4.811
_cell_length_b 4.811
_cell_length_c 4.811
_cell_angle_alpha 60.00
_cell_angle_beta 60.00
_cell_angle_gamma 60.00
_symmetry_space_group_name_H-M 'P 1'
_symmetry_Int_Tables_number 1
_symmetry_space_group_name_Hall 'P 1'
loop_
_atom_site_label
_atom_site_fract_x
_atom_site_fract_y
_atom_site_fract_z
Li1 0.000 0.000 0.000
Th1 0.250 0.250 0.250
Tl1 0.750 0.750 0.750
Ni1 0.500 0.500 0.500
# **Space group**: F-43m, No. 216
# **DOS(E_F)**: 0.33 states/eV/f.u.
# **E_form**: -0.22 eV per atom
# **Magnetic moment**: 0.0 μB/f.u.

=====

(2)
# RbCu2ICl8 | Alexandria | GGA-PBE | optimized geometry
data_RbCu2ICl8
_cell_length_a 5.848
_cell_length_b 6.894
_cell_length_c 10.585
_cell_angle_alpha 87.08
_cell_angle_beta 79.11
_cell_angle_gamma 76.37
_symmetry_space_group_name_H-M 'P 1'
_symmetry_Int_Tables_number 1
_symmetry_space_group_name_Hall 'P 1'
loop_
_atom_site_label
_atom_site_fract_x
_atom_site_fract_y
_atom_site_fract_z
Rb1 0.000 0.000 0.000
Cu1 0.499 0.749 0.502
Cu2 0.501 0.251 0.498
I1 0.000 0.500 0.000
Cl1 0.050 0.670 0.784
Cl2 0.308 0.547 0.417
Cl3 0.327 0.040 0.407
Cl4 0.405 0.264 0.933
Cl5 0.595 0.736 0.067
Cl6 0.673 0.960 0.593
Cl7 0.692 0.453 0.583
Cl8 0.950 0.330 0.216
# **Space group**: P-1, No. 2
# **DOS(E_F)**: 0.82 states/eV/f.u.
# **Formation energy from raw total energies**: -0.60 eV/atom
# **Magnetic moment**: 2.0 μB/f.u.

=====

(3)
# Pr3Ni7Ge4 | Alexandria | GGA-PBE | optimized geometry
data_Pr3Ni7Ge4
_cell_length_a 7.843
_cell_length_b 7.843
_cell_length_c 9.132
_cell_angle_alpha 124.29
_cell_angle_beta 124.29
_cell_angle_gamma 30.49
_symmetry_space_group_name_H-M 'P 1'
_symmetry_Int_Tables_number 1
_symmetry_space_group_name_Hall 'P 1'
loop_
_atom_site_label
_atom_site_fract_x
_atom_site_fract_y
_atom_site_fract_z
Pr1 0.000 0.000 0.000
Pr2 0.317 0.317 0.313
Pr3 0.683 0.683 0.687
Ni1 0.000 0.000 0.500
Ni2 0.125 0.125 0.853
Ni3 0.323 0.323 0.688
Ni4 0.498 0.498 0.720
Ni5 0.502 0.502 0.280
Ni6 0.677 0.677 0.312
Ni7 0.875 0.875 0.147
Ge1 0.121 0.121 0.400
Ge2 0.331 0.331 0.977
Ge3 0.669 0.669 0.023
Ge4 0.879 0.879 0.600
# **Space group**: C2/m, No. 12
# **DOS(E_F)**: 10.55 states/eV/f.u.
# **E_form**: -0.52 eV per atom
# **Magnetic moment**: 0.0 μB/f.u.

=====

(4)
# NdEuAgIr | Alexandria | GGA-PBE | optimized geometry
data_NdEuAgIr
_cell_length_a 5.123
_cell_length_b 5.123
_cell_length_c 5.123
_cell_angle_alpha 60.00
_cell_angle_beta 60.00
_cell_angle_gamma 60.00
_symmetry_space_group_name_H-M 'P 1'
_symmetry_Int_Tables_number 1
_symmetry_space_group_name_Hall 'P 1'
loop_
_atom_site_label
_atom_site_fract_x
_atom_site_fract_y
_atom_site_fract_z
Nd1 0.000 0.000 0.000
Eu1 0.500 0.500 0.500
Ag1 0.250 0.250 0.250
Ir1 0.750 0.750 0.750
# **Space group**: F-43m, No. 216
# **DOS(E_F)**: 6.07 states/eV/f.u.
# **E_form**: -0.38 eV per atom
# **Magnetic moment**: 7.1 μB/f.u.

=====

(5)
# BaH6Rh | Alexandria | GGA-PBE | optimized geometry
data_BaH6Rh
_cell_length_a 5.156
_cell_length_b 5.156
_cell_length_c 9.473
_cell_angle_alpha 103.18
_cell_angle_beta 103.18
_cell_angle_gamma 46.54
_symmetry_space_group_name_H-M 'P 1'
_symmetry_Int_Tables_number 1
_symmetry_space_group_name_Hall 'P 1'
loop_
_atom_site_label
_atom_site_fract_x
_atom_site_fract_y
_atom_site_fract_z
Ba1 0.249 0.751 0.750
Ba2 0.751 0.249 0.250
H1 0.035 0.522 0.181
H2 0.052 0.401 0.524
H3 0.179 0.684 0.029
H4 0.316 0.821 0.471
H5 0.401 0.052 0.024
H6 0.478 0.965 0.319
H7 0.522 0.035 0.681
H8 0.599 0.948 0.976
H9 0.684 0.179 0.529
H10 0.821 0.316 0.971
H11 0.948 0.599 0.476
H12 0.965 0.478 0.819
Rh1 0.000 0.500 0.000
Rh2 0.500 0.000 0.500
# **Space group**: C2/c, No. 15
# **DOS(E_F)**: 0.91 states/eV/f.u.
# **DFT total energy**: -63.340 eV per cell
# **Magnetic moment**: 0.0 μB/f.u.

=====

(6)
# ScTePb | Alexandria | GGA-PBE | optimized geometry
data_ScTePb
_cell_length_a 3.843
_cell_length_b 3.843
_cell_length_c 6.906
_cell_angle_alpha 90.00
_cell_angle_beta 90.00
_cell_angle_gamma 120.00
_symmetry_space_group_name_H-M 'P 1'
_symmetry_Int_Tables_number 1
_symmetry_space_group_name_Hall 'P 1'
loop_
_atom_site_label
_atom_site_fract_x
_atom_site_fract_y
_atom_site_fract_z
Sc1 0.000 0.000 0.000
Te1 0.667 0.333 0.255
Pb1 0.333 0.667 0.656
# **Space group**: P3m1, No. 156
# **DOS(E_F)**: 2.92 states/eV/f.u.
# **Formation energy from raw total energies**: -0.43 eV/atom
# **Magnetic moment**: 0.0 μB/f.u.

=====

(7)
# BaZn3Ru | Alexandria | GGA-PBE | optimized geometry
data_BaZn3Ru
_cell_length_a 4.924
_cell_length_b 4.924
_cell_length_c 4.924
_cell_angle_alpha 90.00
_cell_angle_beta 90.00
_cell_angle_gamma 90.00
_symmetry_space_group_name_H-M 'P 1'
_symmetry_Int_Tables_number 1
_symmetry_space_group_name_Hall 'P 1'
loop_
_atom_site_label
_atom_site_fract_x
_atom_site_fract_y
_atom_site_fract_z
Ba1 0.000 0.000 0.000
Zn1 0.000 0.500 0.500
Zn2 0.500 0.000 0.500
Zn3 0.500 0.500 0.000
Ru1 0.500 0.500 0.500
# **Space group**: Pm-3m, No. 221
# **DOS(E_F)**: 1.85 states/eV/f.u.
# **E_form**: -0.14 eV per atom
# **Magnetic moment**: 0.0 μB/f.u.

=====

(8)
# Th2Zn3Ga2 | Alexandria | GGA-PBE | optimized geometry
data_Th2Zn3Ga2
_cell_length_a 5.742
_cell_length_b 5.742
_cell_length_c 6.637
_cell_angle_alpha 109.00
_cell_angle_beta 109.00
_cell_angle_gamma 45.39
_symmetry_space_group_name_H-M 'P 1'
_symmetry_Int_Tables_number 1
_symmetry_space_group_name_Hall 'P 1'
loop_
_atom_site_label
_atom_site_fract_x
_atom_site_fract_y
_atom_site_fract_z
Th1 0.152 0.152 0.269
Th2 0.848 0.848 0.731
Zn1 0.410 0.410 0.084
Zn2 0.500 0.500 0.500
Zn3 0.590 0.590 0.916
Ga1 0.151 0.151 0.757
Ga2 0.849 0.849 0.243
# **Space group**: C2/m, No. 12
# **DOS(E_F)**: 4.16 states/eV/f.u.
# **E_form**: -0.40 eV per atom
# **Magnetic moment**: 0.0 μB/f.u.

=====

(9)
# La2In5Cu3 | Alexandria | GGA-PBE | optimized geometry
data_La2In5Cu3
_cell_length_a 13.423
_cell_length_b 13.423
_cell_length_c 7.408
_cell_angle_alpha 90.00
_cell_angle_beta 90.00
_cell_angle_gamma 160.07
_symmetry_space_group_name_H-M 'P 1'
_symmetry_Int_Tables_number 1
_symmetry_space_group_name_Hall 'P 1'
loop_
_atom_site_label
_atom_site_fract_x
_atom_site_fract_y
_atom_site_fract_z
La1 0.019 0.981 0.500
La2 0.327 0.673 0.538
La3 0.673 0.327 0.038
La4 0.981 0.019 0.000
In1 0.099 0.901 0.848
In2 0.204 0.796 0.341
In3 0.210 0.790 0.743
In4 0.376 0.624 0.021
In5 0.448 0.552 0.682
In6 0.552 0.448 0.182
In7 0.624 0.376 0.521
In8 0.790 0.210 0.243
In9 0.796 0.204 0.841
In10 0.901 0.099 0.348
Cu1 0.107 0.893 0.226
Cu2 0.273 0.727 0.044
Cu3 0.451 0.549 0.291
Cu4 0.549 0.451 0.791
Cu5 0.727 0.273 0.544
Cu6 0.893 0.107 0.726
# **Space group**: Cmc2_1, No. 36
# **DOS(E_F)**: 4.44 states/eV/f.u.
# **E_form**: -0.32 eV per atom
# **Magnetic moment**: 0.0 μB/f.u.

=====

(10)
# ScNb2W | Alexandria | GGA-PBE | optimized geometry
data_ScNb2W
_cell_length_a 4.686
_cell_length_b 4.686
_cell_length_c 4.686
_cell_angle_alpha 60.00
_cell_angle_beta 60.00
_cell_angle_gamma 60.00
_symmetry_space_group_name_H-M 'P 1'
_symmetry_Int_Tables_number 1
_symmetry_space_group_name_Hall 'P 1'
loop_
_atom_site_label
_atom_site_fract_x
_atom_site_fract_y
_atom_site_fract_z
Sc1 0.000 0.000 0.000
Nb1 0.250 0.250 0.250
Nb2 0.750 0.750 0.750
W1 0.500 0.500 0.500
# **Space group**: Fm-3m, No. 225
# **DOS(E_F)**: 6.44 states/eV/f.u.
# **E_form**: 0.13 eV per atom
# **Magnetic moment**: 0.0 μB/f.u.

=====

(11)
# TlIn2ReO8 | Alexandria | GGA-PBE | optimized geometry
data_TlIn2ReO8
_cell_length_a 4.856
_cell_length_b 4.856
_cell_length_c 6.811
_cell_angle_alpha 90.00
_cell_angle_beta 90.00
_cell_angle_gamma 92.46
_symmetry_space_group_name_H-M 'P 1'
_symmetry_Int_Tables_number 1
_symmetry_space_group_name_Hall 'P 1'
loop_
_atom_site_label
_atom_site_fract_x
_atom_site_fract_y
_atom_site_fract_z
Tl1 0.000 0.000 0.000
In1 0.500 0.500 0.255
In2 0.500 0.500 0.745
Re1 0.000 0.000 0.500
O1 0.187 0.813 0.301
O2 0.187 0.813 0.699
O3 0.288 0.288 0.500
O4 0.308 0.308 0.000
O5 0.692 0.692 0.000
O6 0.712 0.712 0.500
O7 0.813 0.187 0.301
O8 0.813 0.187 0.699
# **Space group**: Cmmm, No. 65
# **Formation energy from raw total energies**: -1.32 eV/atom
# **Magnetic moment**: 0.0 μB/f.u.

=====

(12)
# RbTlAu2 | Alexandria | GGA-PBE | optimized geometry
data_RbTlAu2
_cell_length_a 3.928
_cell_length_b 3.928
_cell_length_c 7.749
_cell_angle_alpha 90.00
_cell_angle_beta 90.00
_cell_angle_gamma 90.00
_symmetry_space_group_name_H-M 'P 1'
_symmetry_Int_Tables_number 1
_symmetry_space_group_name_Hall 'P 1'
loop_
_atom_site_label
_atom_site_fract_x
_atom_site_fract_y
_atom_site_fract_z
Rb1 0.000 0.000 0.000
Tl1 0.000 0.000 0.500
Au1 0.500 0.500 0.306
Au2 0.500 0.500 0.694
# **Space group**: P4/mmm, No. 123
# **DOS(E_F)**: 0.63 states/eV/f.u.
# **E_form**: -0.09 eV per atom
# **Magnetic moment**: 0.0 μB/f.u.